VASP calculation (GGA-PBE) on Th2Ni4P3Au after structural relaxation.

Cell lengths 4.001, 4.001, 9.965 Å; angles 90.00, 90.00, 90.00 degrees
Fractional coordinates of all 10 atoms:
Ni 0.000 0.500 0.343
P 0.000 0.000 0.500
Ni 0.500 0.500 0.000
P 0.000 0.500 0.121
Ni 0.500 0.000 0.657
Th 0.500 0.000 0.239
Ni 0.000 0.000 0.000
Au 0.500 0.500 0.500
Th 0.000 0.500 0.761
P 0.500 0.000 0.879

Symmetry: P-4m2
Crystal system: tetragonal
Energy in eV/cell: -66.03
Total magnetic moment in μB per formula unit: 0.00
ΔE_f in eV per atom: -0.856